# Mg2BeCl (GGA-PBEsol, optimized geometry)
# energy relative to the elements, uncorrected = 193 meV/atom
# size of the total moment = 0.001 μB per cell
# uncorrected energy = -17.34 eV for the cell shown
# DOS at the Fermi energy = 0.50 states/eV/atom
data_Mg2BeCl
_space_group_name_H-M_alt 'I 4/m m m'
_space_group_IT_number 139
_space_group_name_Hall '-I 4 2'
_cell_length_a 4.293
_cell_length_b 4.293
_cell_length_c 8.130
_cell_angle_alpha 90.00
_cell_angle_beta 90.00
_cell_angle_gamma 90.00
loop_
_atom_site_label
_atom_site_type_symbol
_atom_site_fract_x
_atom_site_fract_y
_atom_site_fract_z
Mg1 Mg 0.000 0.500 0.250
Be1 Be 0.000 0.000 0.000
Cl1 Cl 0.000 0.000 0.500

# MgBeCl2 (GGA-PBEsol, optimized geometry)
# energy relative to the elements, uncorrected = 184 meV/atom
# size of the total moment = 0.001 μB per cell
# uncorrected energy = -35.98 eV for the cell shown
# DOS at the Fermi energy = 0.76 states/eV/atom
data_MgBeCl2
_space_group_name_H-M_alt 'F -4 3 m'
_space_group_IT_number 216
_space_group_name_Hall 'F -4 2 3'
_cell_length_a 6.794
_cell_length_b 6.794
_cell_length_c 6.794
_cell_angle_alpha 90.00
_cell_angle_beta 90.00
_cell_angle_gamma 90.00
loop_
_atom_site_label
_atom_site_type_symbol
_atom_site_fract_x
_atom_site_fract_y
_atom_site_fract_z
Mg1 Mg 0.000 0.000 0.000
Be1 Be 0.250 0.250 0.250
Cl1 Cl 0.000 0.000 0.500
Cl2 Cl 0.250 0.250 0.750

# MgBeCl2 (GGA-PBEsol, optimized geometry)
# energy relative to the elements, uncorrected = -310 meV/atom
# size of the total moment = 0.000 μB per cell
# uncorrected energy = -10.97 eV for the cell shown
# DOS at the Fermi energy = 0.15 states/eV/atom
data_MgBeCl2
_space_group_name_H-M_alt 'P 4/m m m'
_space_group_IT_number 123
_space_group_name_Hall '-P 4 2'
_cell_length_a 3.096
_cell_length_b 3.096
_cell_length_c 9.400
_cell_angle_alpha 90.00
_cell_angle_beta 90.00
_cell_angle_gamma 90.00
loop_
_atom_site_label
_atom_site_type_symbol
_atom_site_fract_x
_atom_site_fract_y
_atom_site_fract_z
Mg1 Mg 0.000 0.000 0.000
Be1 Be 0.000 0.000 0.500
Cl1 Cl 0.500 0.500 0.160

# MgBe2Cl (GGA-PBEsol, optimized geometry)
# energy relative to the elements, uncorrected = 554 meV/atom
# size of the total moment = 0.000 μB per cell
# uncorrected energy = -19.02 eV for the cell shown
# DOS at the Fermi energy = 0.36 states/eV/atom
data_MgBe2Cl
_space_group_name_H-M_alt 'I -4 m 2'
_space_group_IT_number 119
_space_group_name_Hall 'I -4 -2'
_cell_length_a 3.798
_cell_length_b 3.798
_cell_length_c 8.399
_cell_angle_alpha 90.00
_cell_angle_beta 90.00
_cell_angle_gamma 90.00
loop_
_atom_site_label
_atom_site_type_symbol
_atom_site_fract_x
_atom_site_fract_y
_atom_site_fract_z
Mg1 Mg 0.000 0.000 0.000
Be1 Be 0.000 0.000 0.500
Be2 Be 0.000 0.500 0.250
Cl1 Cl 0.000 0.500 0.750

# MgBe2Cl (GGA-PBEsol, optimized geometry)
# energy relative to the elements, uncorrected = 289 meV/atom
# size of the total moment = 0.001 μB per cell
# uncorrected energy = -21.14 eV for the cell shown
# DOS at the Fermi energy = 0.39 states/eV/atom
data_MgBe2Cl
_space_group_name_H-M_alt 'I m m 2'
_space_group_IT_number 44
_cell_length_a 2.871
_cell_length_b 5.362
_cell_length_c 8.545
_cell_angle_alpha 90.00
_cell_angle_beta 90.00
_cell_angle_gamma 90.00
loop_
_space_group_symop_operation_xyz
'x,y,z'
'-x,-y,z'
'-x,y,z'
'x,-y,z'
'x+1/2,y+1/2,z+1/2'
'-x+1/2,-y+1/2,z+1/2'
'-x+1/2,y+1/2,z+1/2'
'x+1/2,-y+1/2,z+1/2'
loop_
_atom_site_label
_atom_site_type_symbol
_atom_site_fract_x
_atom_site_fract_y
_atom_site_fract_z
Mg1 Mg 0.000 0.000 0.000
Be1 Be 0.000 0.000 0.484
Be2 Be 0.000 0.500 0.778
Cl1 Cl 0.000 0.500 0.161

# Mg4BeCl (GGA-PBEsol, optimized geometry)
# energy relative to the elements, uncorrected = 343 meV/atom
# size of the total moment = 0.001 μB per cell
# uncorrected energy = -43.28 eV for the cell shown
# DOS at the Fermi energy = 0.70 states/eV/atom
data_Mg4BeCl
_space_group_name_H-M_alt 'F -4 3 m'
_space_group_IT_number 216
_space_group_name_Hall 'F -4 2 3'
_cell_length_a 8.069
_cell_length_b 8.069
_cell_length_c 8.069
_cell_angle_alpha 90.00
_cell_angle_beta 90.00
_cell_angle_gamma 90.00
loop_
_atom_site_label
_atom_site_type_symbol
_atom_site_fract_x
_atom_site_fract_y
_atom_site_fract_z
Mg1 Mg 0.124 0.124 0.124
Be1 Be 0.250 0.250 0.750
Cl1 Cl 0.000 0.000 0.500

# MgBe2Cl (GGA-PBEsol, optimized geometry)
# energy relative to the elements, uncorrected = 990 meV/atom
# size of the total moment = 0.006 μB per cell
# uncorrected energy = -31.06 eV for the cell shown
# DOS at the Fermi energy = 0.81 states/eV/atom
data_MgBe2Cl
_space_group_name_H-M_alt 'F m -3 m'
_space_group_IT_number 225
_space_group_name_Hall '-F 4 2 3'
_cell_length_a 6.558
_cell_length_b 6.558
_cell_length_c 6.558
_cell_angle_alpha 90.00
_cell_angle_beta 90.00
_cell_angle_gamma 90.00
loop_
_atom_site_label
_atom_site_type_symbol
_atom_site_fract_x
_atom_site_fract_y
_atom_site_fract_z
Mg1 Mg 0.000 0.000 0.000
Be1 Be 0.250 0.250 0.250
Cl1 Cl 0.000 0.000 0.500

# MgBeNi2Cl (GGA-PBEsol, optimized geometry)
# energy relative to the elements, uncorrected = 310 meV/atom
# size of the total moment = 0.000 μB per cell
# uncorrected energy = -18.49 eV for the cell shown
# DOS at the Fermi energy = 0.27 states/eV/atom
data_MgBeNi2Cl
_space_group_name_H-M_alt 'P 4/m m m'
_space_group_IT_number 123
_space_group_name_Hall '-P 4 2'
_cell_length_a 3.949
_cell_length_b 3.949
_cell_length_c 4.601
_cell_angle_alpha 90.00
_cell_angle_beta 90.00
_cell_angle_gamma 90.00
loop_
_atom_site_label
_atom_site_type_symbol
_atom_site_fract_x
_atom_site_fract_y
_atom_site_fract_z
Mg1 Mg 0.000 0.000 0.000
Be1 Be 0.500 0.500 0.500
Ni1 Ni 0.000 0.500 0.500
Cl1 Cl 0.500 0.500 0.000

# MgBeNi2Cl (GGA-PBEsol, optimized geometry)
# energy relative to the elements, uncorrected = 683 meV/atom
# size of the total moment = 0.001 μB per cell
# uncorrected energy = -16.62 eV for the cell shown
# DOS at the Fermi energy = 0.44 states/eV/atom
data_MgBeNi2Cl
_space_group_name_H-M_alt 'P 4/m m m'
_space_group_IT_number 123
_space_group_name_Hall '-P 4 2'
_cell_length_a 4.105
_cell_length_b 4.105
_cell_length_c 4.609
_cell_angle_alpha 90.00
_cell_angle_beta 90.00
_cell_angle_gamma 90.00
loop_
_atom_site_label
_atom_site_type_symbol
_atom_site_fract_x
_atom_site_fract_y
_atom_site_fract_z
Mg1 Mg 0.000 0.000 0.000
Be1 Be 0.500 0.500 0.000
Ni1 Ni 0.000 0.500 0.500
Cl1 Cl 0.000 0.000 0.500

# MnBeCl2 (GGA-PBEsol, optimized geometry)
# energy relative to the elements, uncorrected = -270 meV/atom
# size of the total moment = 6.818 μB per cell
# uncorrected energy = -37.71 eV for the cell shown
# DOS at the Fermi energy = 0.33 states/eV/atom
data_MnBeCl2
_space_group_name_H-M_alt 'C 1 2/m 1'
_space_group_IT_number 12
_cell_length_a 12.428
_cell_length_b 3.668
_cell_length_c 3.197
_cell_angle_alpha 90.00
_cell_angle_beta 104.63
_cell_angle_gamma 90.00
loop_
_space_group_symop_operation_xyz
'x,y,z'
'-x,-y,-z'
'-x,y,-z'
'x,-y,z'
'x+1/2,y+1/2,z'
'-x+1/2,-y+1/2,-z'
'-x+1/2,y+1/2,-z'
'x+1/2,-y+1/2,z'
loop_
_atom_site_label
_atom_site_type_symbol
_atom_site_fract_x
_atom_site_fract_y
_atom_site_fract_z
Mn1 Mn 0.000 0.000 0.000
Be1 Be 0.000 0.500 0.500
Cl1 Cl 0.134 0.500 0.132

# MnBeCl (GGA-PBEsol, optimized geometry)
# energy relative to the elements, uncorrected = 549 meV/atom
# size of the total moment = 2.298 μB per cell
# uncorrected energy = -14.12 eV for the cell shown
# DOS at the Fermi energy = 0.50 states/eV/atom
data_MnBeCl
_space_group_name_H-M_alt 'P -6 m 2'
_space_group_IT_number 187
_space_group_name_Hall 'P -6 2'
_cell_length_a 3.8607
_cell_length_b 3.8607
_cell_length_c 2.8500
_cell_angle_alpha 90.00
_cell_angle_beta 90.00
_cell_angle_gamma 120.00
loop_
_atom_site_label
_atom_site_type_symbol
_atom_site_fract_x
_atom_site_fract_y
_atom_site_fract_z
Mn1 Mn 0.0000 0.0000 0.0000
Be1 Be 0.3333 0.6667 0.5000
Cl1 Cl 0.6667 0.3333 0.0000

# MnBeCl2 (GGA-PBEsol, optimized geometry)
# energy relative to the elements, uncorrected = 193 meV/atom
# size of the total moment = 3.616 μB per cell
# uncorrected energy = -17.01 eV for the cell shown
# DOS at the Fermi energy = 0.53 states/eV/atom
data_MnBeCl2
_space_group_name_H-M_alt 'P m m m'
_space_group_IT_number 47
_cell_length_a 3.098
_cell_length_b 3.719
_cell_length_c 5.629
_cell_angle_alpha 90.00
_cell_angle_beta 90.00
_cell_angle_gamma 90.00
loop_
_space_group_symop_operation_xyz
'x,y,z'
'-x,-y,-z'
'-x,-y,z'
'x,y,-z'
'x,-y,-z'
'-x,y,z'
'-x,y,-z'
'x,-y,z'
loop_
_atom_site_label
_atom_site_type_symbol
_atom_site_fract_x
_atom_site_fract_y
_atom_site_fract_z
Mn1 Mn 0.000 0.000 0.000
Be1 Be 0.500 0.000 0.500
Cl1 Cl 0.000 0.500 0.500
Cl2 Cl 0.500 0.500 0.000

# MnBeCl (GGA-PBEsol, optimized geometry)
# energy relative to the elements, uncorrected = 918 meV/atom
# size of the total moment = 10.885 μB per cell
# uncorrected energy = -52.06 eV for the cell shown
# DOS at the Fermi energy = 0.48 states/eV/atom
data_MnBeCl
_space_group_name_H-M_alt 'F -4 3 m'
_space_group_IT_number 216
_space_group_name_Hall 'F -4 2 3'
_cell_length_a 5.467
_cell_length_b 5.467
_cell_length_c 5.467
_cell_angle_alpha 90.00
_cell_angle_beta 90.00
_cell_angle_gamma 90.00
loop_
_atom_site_label
_atom_site_type_symbol
_atom_site_fract_x
_atom_site_fract_y
_atom_site_fract_z
Mn1 Mn 0.000 0.000 0.000
Be1 Be 0.000 0.000 0.500
Cl1 Cl 0.250 0.250 0.250

# Be2MoCl (GGA-PBEsol, optimized geometry)
# energy relative to the elements, uncorrected = 345 meV/atom
# size of the total moment = 0.000 μB per cell
# uncorrected energy = -40.80 eV for the cell shown
# DOS at the Fermi energy = 0.48 states/eV/atom
data_Be2MoCl
_space_group_name_H-M_alt 'A m m 2'
_space_group_IT_number 38
_cell_length_a 3.989
_cell_length_b 2.716
_cell_length_c 9.287
_cell_angle_alpha 90.00
_cell_angle_beta 90.00
_cell_angle_gamma 90.00
loop_
_space_group_symop_operation_xyz
'x,y,z'
'-x,-y,z'
'-x,y,z'
'x,-y,z'
'x,y+1/2,z+1/2'
'-x,-y+1/2,z+1/2'
'-x,y+1/2,z+1/2'
'x,-y+1/2,z+1/2'
loop_
_atom_site_label
_atom_site_type_symbol
_atom_site_fract_x
_atom_site_fract_y
_atom_site_fract_z
Be1 Be 0.000 0.000 0.000
Be2 Be 0.500 0.000 0.111
Mo1 Mo 0.000 0.000 0.718
Cl1 Cl 0.500 0.000 0.872

# BeMoCl (GGA-PBEsol, optimized geometry)
# energy relative to the elements, uncorrected = 594 meV/atom
# size of the total moment = 0.000 μB per cell
# uncorrected energy = -15.99 eV for the cell shown
# DOS at the Fermi energy = 0.56 states/eV/atom
data_BeMoCl
_space_group_name_H-M_alt 'P -6 m 2'
_space_group_IT_number 187
_space_group_name_Hall 'P -6 2'
_cell_length_a 4.1813
_cell_length_b 4.1813
_cell_length_c 2.6948
_cell_angle_alpha 90.00
_cell_angle_beta 90.00
_cell_angle_gamma 120.00
loop_
_atom_site_label
_atom_site_type_symbol
_atom_site_fract_x
_atom_site_fract_y
_atom_site_fract_z
Be1 Be 0.0000 0.0000 0.0000
Mo1 Mo 0.6667 0.3333 0.5000
Cl1 Cl 0.3333 0.6667 0.5000

# Be2MoCl (GGA-PBEsol, optimized geometry)
# energy relative to the elements, uncorrected = 585 meV/atom
# size of the total moment = 0.000 μB per cell
# uncorrected energy = -38.87 eV for the cell shown
# DOS at the Fermi energy = 0.52 states/eV/atom
data_Be2MoCl
_space_group_name_H-M_alt 'C 1 2/m 1'
_space_group_IT_number 12
_cell_length_a 8.656
_cell_length_b 2.758
_cell_length_c 4.622
_cell_angle_alpha 90.00
_cell_angle_beta 100.31
_cell_angle_gamma 90.00
loop_
_space_group_symop_operation_xyz
'x,y,z'
'-x,-y,-z'
'-x,y,-z'
'x,-y,z'
'x+1/2,y+1/2,z'
'-x+1/2,-y+1/2,-z'
'-x+1/2,y+1/2,-z'
'x+1/2,-y+1/2,z'
loop_
_atom_site_label
_atom_site_type_symbol
_atom_site_fract_x
_atom_site_fract_y
_atom_site_fract_z
Be1 Be 0.212 0.000 0.336
Mo1 Mo 0.000 0.500 0.500
Cl1 Cl 0.000 0.000 0.000

# BeSbMoCl2 (GGA-PBEsol, optimized geometry)
# energy relative to the elements, uncorrected = 324 meV/atom
# size of the total moment = 3.015 μB per cell
# uncorrected energy = -22.72 eV for the cell shown
# DOS at the Fermi energy = 0.18 states/eV/atom
data_BeSbMoCl2
_space_group_name_H-M_alt 'P 4/m m m'
_space_group_IT_number 123
_space_group_name_Hall '-P 4 2'
_cell_length_a 4.049
_cell_length_b 4.049
_cell_length_c 7.413
_cell_angle_alpha 90.00
_cell_angle_beta 90.00
_cell_angle_gamma 90.00
loop_
_atom_site_label
_atom_site_type_symbol
_atom_site_fract_x
_atom_site_fract_y
_atom_site_fract_z
Be1 Be 0.000 0.000 0.000
Sb1 Sb 0.500 0.500 0.500
Mo1 Mo 0.000 0.000 0.500
Cl1 Cl 0.000 0.500 0.000

# Ta2BeMoCl (GGA-PBEsol, optimized geometry)
# energy relative to the elements, uncorrected = 1474 meV/atom
# size of the total moment = 0.000 μB per cell
# uncorrected energy = -35.51 eV for the cell shown
# DOS at the Fermi energy = 0.72 states/eV/atom
data_Ta2BeMoCl
_space_group_name_H-M_alt 'P 4/m m m'
_space_group_IT_number 123
_space_group_name_Hall '-P 4 2'
_cell_length_a 4.812
_cell_length_b 4.812
_cell_length_c 4.353
_cell_angle_alpha 90.00
_cell_angle_beta 90.00
_cell_angle_gamma 90.00
loop_
_atom_site_label
_atom_site_type_symbol
_atom_site_fract_x
_atom_site_fract_y
_atom_site_fract_z
Ta1 Ta 0.000 0.500 0.000
Be1 Be 0.000 0.000 0.500
Mo1 Mo 0.000 0.000 0.000
Cl1 Cl 0.500 0.500 0.500

# BeS2NCl (GGA-PBEsol, optimized geometry)
# energy relative to the elements, uncorrected = 812 meV/atom
# size of the total moment = 0.003 μB per cell
# uncorrected energy = -19.24 eV for the cell shown
# DOS at the Fermi energy = 0.79 states/eV/atom
data_BeS2NCl
_space_group_name_H-M_alt 'P 4/m m m'
_space_group_IT_number 123
_space_group_name_Hall '-P 4 2'
_cell_length_a 4.677
_cell_length_b 4.677
_cell_length_c 3.129
_cell_angle_alpha 90.00
_cell_angle_beta 90.00
_cell_angle_gamma 90.00
loop_
_atom_site_label
_atom_site_type_symbol
_atom_site_fract_x
_atom_site_fract_y
_atom_site_fract_z
Be1 Be 0.000 0.000 0.000
S1 S 0.000 0.500 0.000
N1 N 0.000 0.000 0.500
Cl1 Cl 0.500 0.500 0.500

# BeS2NCl (GGA-PBEsol, optimized geometry)
# energy relative to the elements, uncorrected = 1678 meV/atom
# size of the total moment = 0.006 μB per cell
# uncorrected energy = -14.91 eV for the cell shown
# DOS at the Fermi energy = 0.54 states/eV/atom
data_BeS2NCl
_space_group_name_H-M_alt 'P 4/m m m'
_space_group_IT_number 123
_space_group_name_Hall '-P 4 2'
_cell_length_a 4.708
_cell_length_b 4.708
_cell_length_c 3.351
_cell_angle_alpha 90.00
_cell_angle_beta 90.00
_cell_angle_gamma 90.00
loop_
_atom_site_label
_atom_site_type_symbol
_atom_site_fract_x
_atom_site_fract_y
_atom_site_fract_z
Be1 Be 0.000 0.000 0.000
S1 S 0.000 0.500 0.500
N1 N 0.500 0.500 0.000
Cl1 Cl 0.500 0.500 0.500